# GaGeH

An optimized crystal structure of GaGeH (PBE, Alexandria).

a = 4.292 Å, b = 4.294 Å, c = 8.302 Å
α = 91.00°, β = 93.67°, γ = 119.74°
Space group P1 (No. 1)
Symmetry-distinct sites (fractional):
Ga  0.000  0.000  0.000 (multiplicity 1)
Ga  0.207  0.223  0.684 (multiplicity 1)
Ge  0.342  0.673  0.993 (multiplicity 1)
Ge  0.534  0.881  0.691 (multiplicity 1)
H  0.745  0.461  0.300 (multiplicity 1)
H  0.824  0.456  0.383 (multiplicity 1)

**Size of the total moment**: 0.0 μB/f.u.
**Relative energy among the computed polymorphs**: 0.008 eV per atom